LaAlTc | the Alexandria database | GGA-PBE | optimized geometry; DFT total energy = -6.411 eV/atom; offset from the most stable computed form = 0.0724 eV per atom; ΔH_f (0 K) = -0.07 eV/atom
1.0
4.422 0.000 0.000
-2.211 3.829 0.000
0.000 0.000 4.031
La Al Tc
1 1 1
Direct
0.000 0.000 0.000
0.333 0.667 0.500
0.667 0.333 0.500

MoAsWC2 | the Alexandria database | GGA-PBE | optimized geometry; DFT total energy = -6.752 eV/atom; ΔH_f (0 K) = 2.62 eV/atom
1.0
3.865 0.000 0.000
0.000 3.865 0.000
0.000 0.000 4.918
Mo As W C
1 1 1 2
Direct
0.000 0.000 0.000
0.000 0.000 0.500
0.500 0.500 0.000
0.000 0.500 0.500
0.500 0.000 0.500

CaCe4Er | the Alexandria database | GGA-PBE | optimized geometry; DFT total energy = -4.796 eV/atom; ΔH_f (0 K) = 0.25 eV/atom
1.0
0.000 4.549 4.549
4.549 0.000 4.549
4.549 4.549 0.000
Ca Ce Er
1 4 1
Direct
0.000 0.000 0.000
0.147 0.618 0.618
0.618 0.147 0.618
0.618 0.618 0.147
0.618 0.618 0.618
0.250 0.250 0.250

Q: What is the formula in the third record?
A: CaCe4Er